# 1
VASP calculation (GGA-PBE) on a relaxed structure of PuHf3Tc4.

Unit cell a=3.2827 b=3.2827 c=13.1411 alpha=90.00 beta=90.00 gamma=90.00
Last column: nearest neighbours and their distance in Å.
Positions (direct):
1 Pu 0.0000 0.0000 0.0000  8 Tc 2.83
2 Hf 0.0000 0.0000 0.2557  8 Tc 2.80-2.90
3 Hf 0.0000 0.0000 0.5000  8 Tc 2.84
4 Hf 0.0000 0.0000 0.7443  8 Tc 2.80-2.90
5 Tc 0.5000 0.5000 0.1238  4 Pu 2.83, 4 Hf 2.90
6 Tc 0.5000 0.5000 0.3750  8 Hf 2.80-2.84
7 Tc 0.5000 0.5000 0.6250  8 Hf 2.80-2.84
8 Tc 0.5000 0.5000 0.8762  4 Pu 2.83, 4 Hf 2.90

The value obtained for the density of states at the Fermi level is 10.03 states/eV/f.u. As for the theoretical density: 13737 kg/m³. The total energy is -11.052 eV per atom. The magnetization is 3.571 Bohr magnetons per cell. As for the symmetry: P4/mmm (123).

# 2
VASP calculation (GGA-PBE) on a relaxed structure of PuHf2Tc.

Unit cell a=3.2582 b=3.2582 c=7.8441 alpha=90.00 beta=90.00 gamma=90.00
Last column: nearest neighbours and their distance in Å.
Positions (direct):
1 Pu 0.0000 0.0000 0.0000  4 Pu 3.26, 8 Hf 3.29
2 Hf 0.5000 0.5000 0.2985  4 Tc 2.79
3 Hf 0.5000 0.5000 0.7015  4 Tc 2.79
4 Tc 0.0000 0.0000 0.5000  8 Hf 2.79

The value obtained for the density of states at the Fermi level is 7.34 states/eV/f.u. As for the theoretical density: 13938 kg/m³. The calculation puts the offset from the most stable computed form at 0.000 eV per atom. The magnetization is 5.773 Bohr magnetons per cell. As for the symmetry: P4/mmm (123).

# 3
VASP calculation (GGA-PBE) on a relaxed structure of PuHf2Tc.

Unit cell a=4.8676 b=4.8676 c=3.3254 alpha=90.00 beta=90.00 gamma=90.00
Last column: nearest neighbours and their distance in Å.
Positions (direct):
1 Pu 0.0000 0.0000 0.0000  8 Hf 2.95
2 Hf 0.0000 0.5000 0.5000  4 Tc 2.95, 4 Pu 2.95
3 Hf 0.5000 0.0000 0.5000  4 Tc 2.95, 4 Pu 2.95
4 Tc 0.5000 0.5000 0.0000  8 Hf 2.95

The value obtained for the density of states at the Fermi level is 7.95 states/eV/f.u. As for the theoretical density: 14732 kg/m³. The calculation puts the offset from the most stable computed form at 0.268 eV per atom. The magnetization is 5.075 Bohr magnetons per cell. As for the symmetry: P4/mmm (123).

# 4
VASP calculation (GGA-PBE) on a relaxed structure of PuHf2Tc.

Unit cell a=6.8122 b=6.8122 c=6.8122 alpha=90.00 beta=90.00 gamma=90.00
Last column: nearest neighbours and their distance in Å.
Positions (direct):
1 Pu 0.0000 0.0000 0.0000  8 Hf 2.95
2 Pu 0.0000 0.5000 0.5000  8 Hf 2.95
3 Pu 0.5000 0.0000 0.5000  8 Hf 2.95
4 Pu 0.5000 0.5000 0.0000  8 Hf 2.95
5 Hf 0.2500 0.2500 0.2500  4 Tc 2.95, 4 Pu 2.95
6 Hf 0.2500 0.2500 0.7500  4 Tc 2.95, 4 Pu 2.95
7 Hf 0.2500 0.7500 0.2500  4 Tc 2.95, 4 Pu 2.95
8 Hf 0.2500 0.7500 0.7500  4 Tc 2.95, 4 Pu 2.95
9 Hf 0.7500 0.2500 0.2500  4 Tc 2.95, 4 Pu 2.95
10 Hf 0.7500 0.2500 0.7500  4 Tc 2.95, 4 Pu 2.95
11 Hf 0.7500 0.7500 0.2500  4 Tc 2.95, 4 Pu 2.95
12 Hf 0.7500 0.7500 0.7500  4 Tc 2.95, 4 Pu 2.95
13 Tc 0.0000 0.0000 0.5000  8 Hf 2.95
14 Tc 0.0000 0.5000 0.0000  8 Hf 2.95
15 Tc 0.5000 0.0000 0.0000  8 Hf 2.95
16 Tc 0.5000 0.5000 0.5000  8 Hf 2.95

The value obtained for the density of states at the Fermi level is 9.98 states/eV/f.u. As for the theoretical density: 14687 kg/m³. The calculation puts the offset from the most stable computed form at 0.256 eV per atom. The magnetization is 20.701 Bohr magnetons per cell. As for the symmetry: Fm-3m (225).

# 5
VASP calculation (GGA-PBE) on a relaxed structure of PuHf2Tc.

Unit cell a=3.1634 b=3.1634 c=30.5176 alpha=90.00 beta=90.00 gamma=120.00
Last column: nearest neighbours and their distance in Å.
Positions (direct):
1 Pu 0.0000 0.0000 0.0000  2 Hf 3.09, 6 Pu 3.16
2 Pu 0.3333 0.6667 0.6667  2 Hf 3.09, 6 Pu 3.16
3 Pu 0.6667 0.3333 0.3333  2 Hf 3.09, 6 Pu 3.16
4 Hf 0.0000 0.0000 0.1011  3 Tc 2.71
5 Hf 0.0000 0.0000 0.8989  3 Tc 2.71
6 Hf 0.3333 0.6667 0.5656  3 Tc 2.71
7 Hf 0.3333 0.6667 0.7678  3 Tc 2.71
8 Hf 0.6667 0.3333 0.2322  3 Tc 2.71
9 Hf 0.6667 0.3333 0.4344  3 Tc 2.71
10 Tc 0.0000 0.0000 0.5000  6 Hf 2.71
11 Tc 0.3333 0.6667 0.1667  6 Hf 2.71
12 Tc 0.6667 0.3333 0.8333  6 Hf 2.71

The value obtained for the density of states at the Fermi level is 10.18 states/eV/f.u. As for the theoretical density: 13166 kg/m³. The calculation puts the offset from the most stable computed form at 0.394 eV per atom. The magnetization is 15.590 Bohr magnetons per cell. As for the symmetry: R-3m (166).

# 6
VASP calculation (GGA-PBE) on a relaxed structure of PuHfTe.

Unit cell a=4.9432 b=4.9432 c=3.6149 alpha=90.00 beta=90.00 gamma=120.00
Last column: nearest neighbours and their distance in Å.
Positions (direct):
1 Pu 0.0000 0.0000 0.0000  6 Hf 3.38, 6 Te 3.38, 2 Pu 3.61
2 Hf 0.6667 0.3333 0.5000  3 Te 2.85
3 Te 0.3333 0.6667 0.5000  3 Hf 2.85

The value obtained for the density of states at the Fermi level is 8.41 states/eV/f.u. For the formation energy without anion corrections, the calculation gives -0.15 eV per atom. As for the theoretical density: 11941 kg/m³. The calculation puts the offset from the most stable computed form at 0.000 eV per atom. The magnetization is 5.456 Bohr magnetons per cell. As for the symmetry: P-6m2 (187).

# 7
VASP calculation (GGA-PBE) on a relaxed structure of PuHfTe3.

Unit cell a=9.3484 b=4.0783 c=15.3626 alpha=90.00 beta=90.00 gamma=90.00
Last column: nearest neighbours and their distance in Å.
Positions (direct):
1 Pu 0.1478 0.2500 0.1962  8 Te 3.18-3.47
2 Pu 0.3522 0.7500 0.6962  8 Te 3.18-3.47
3 Pu 0.6478 0.2500 0.3038  8 Te 3.18-3.47
4 Pu 0.8522 0.7500 0.8038  8 Te 3.18-3.47
5 Hf 0.1665 0.7500 0.4588  6 Te 2.87-2.91
6 Hf 0.3335 0.2500 0.9588  6 Te 2.87-2.91
7 Hf 0.6665 0.7500 0.0412  6 Te 2.87-2.91
8 Hf 0.8335 0.2500 0.5412  6 Te 2.87-2.91
9 Te 0.0123 0.7500 0.6209  3 Hf 2.88-2.91, 1 Pu 3.18
10 Te 0.1531 0.2500 0.8053  1 Hf 2.90, 2 Pu 3.23
11 Te 0.1582 0.7500 0.0359  2 Hf 2.87, 2 Pu 3.20
12 Te 0.3418 0.2500 0.5359  2 Hf 2.87, 2 Pu 3.20
13 Te 0.3469 0.7500 0.3053  1 Hf 2.90, 2 Pu 3.23
14 Te 0.4877 0.2500 0.1209  3 Hf 2.88-2.91, 1 Pu 3.18
15 Te 0.5123 0.7500 0.8791  3 Hf 2.88-2.91, 1 Pu 3.18
16 Te 0.6531 0.2500 0.6947  1 Hf 2.90, 2 Pu 3.23
17 Te 0.6582 0.7500 0.4641  2 Hf 2.87, 2 Pu 3.20
18 Te 0.8418 0.2500 0.9641  2 Hf 2.87, 2 Pu 3.20
19 Te 0.8469 0.7500 0.1947  1 Hf 2.90, 2 Pu 3.23
20 Te 0.9877 0.2500 0.3791  3 Hf 2.88-2.91, 1 Pu 3.18

The value obtained for the density of states at the Fermi level is 12.64 states/eV/f.u. For the formation energy without anion corrections, the calculation gives -0.86 eV per atom. As for the theoretical density: 9132 kg/m³. The magnetization is 22.791 Bohr magnetons per cell. As for the symmetry: Pnma (62).

# 8
VASP calculation (GGA-PBE) on a relaxed structure of PuHfTe.

Unit cell a=3.0559 b=4.0328 c=12.6970 alpha=90.00 beta=90.00 gamma=90.00
Last column: nearest neighbours and their distance in Å.
Positions (direct):
1 Pu 0.2500 0.2500 0.0092  4 Pu 2.54
2 Pu 0.7500 0.7500 0.9908  4 Pu 2.54
3 Hf 0.2500 0.7500 0.2031  2 Te 2.86, 2 Hf 3.06, 4 Pu 3.10-3.18
4 Hf 0.7500 0.2500 0.7969  2 Te 2.86, 2 Hf 3.06, 4 Pu 3.10-3.18
5 Te 0.2500 0.2500 0.3624  2 Hf 2.86, 2 Te 3.06
6 Te 0.7500 0.7500 0.6376  2 Hf 2.86, 2 Te 3.06

The value obtained for the density of states at the Fermi level is 3.45 states/eV/f.u. For the formation energy without anion corrections, the calculation gives 0.23 eV per atom. As for the theoretical density: 11675 kg/m³. The calculation puts the offset from the most stable computed form at 0.384 eV per atom. The magnetization is 0.000 Bohr magnetons per cell. As for the symmetry: Pmmn (59).